Entry 1:
OsRu2: relaxed, PBE.

Summary:
Density of states at the Fermi level: 1.23 states/eV per atom
Space-group type: No. 205
DFT total energy: -8.840 eV/atom
E_form: 1.09 eV/atom

a b c (Å): 5.9330 5.9330 5.9330
angles (deg): 90.00 90.00 90.00
Fractional positions:
Os: 0.0000 0.0000 0.0000
Os: 0.0000 0.5000 0.5000
Os: 0.5000 0.0000 0.5000
Os: 0.5000 0.5000 0.0000
Ru: 0.1149 0.6149 0.8851
Ru: 0.1149 0.8851 0.3851
Ru: 0.3851 0.1149 0.8851
Ru: 0.3851 0.3851 0.3851
Ru: 0.6149 0.6149 0.6149
Ru: 0.6149 0.8851 0.1149
Ru: 0.8851 0.1149 0.6149
Ru: 0.8851 0.3851 0.1149

Entry 2:
CdInN2: relaxed, PBE.

Summary:
Density of states at the Fermi level: 0.26 states/eV per atom
Space-group type: No. 2
DFT total energy: -4.872 eV/atom
Formation energy from raw total energies: 0.2038 eV per atom

a b c (Å): 3.0345 6.0624 14.8984
angles (deg): 89.03 84.35 80.02
Fractional positions:
Cd: 0.0991 0.2497 0.3059
Cd: 0.9009 0.7503 0.6941
In: 0.0000 0.0000 0.5000
In: 0.0000 0.5000 0.5000
N: 0.1787 0.8433 0.0903
N: 0.2317 0.6569 0.0903
N: 0.7683 0.3431 0.9097
N: 0.8213 0.1567 0.9097

Entry 3:
NdY2Rh: relaxed, PBE.

Summary:
Density of states at the Fermi level: 1.28 states/eV per atom
Space-group type: No. 160
DFT total energy: -6.595 eV/atom
E_form: -0.33 eV/atom

a b c (Å): 9.4685 9.4685 9.4685
angles (deg): 23.71 23.71 23.71
Fractional positions:
Nd: 0.0000 0.0000 0.0000
Y: 0.2266 0.2266 0.2266
Y: 0.4439 0.4439 0.4439
Rh: 0.8353 0.8353 0.8353